Ba2NaSr2Sb3O12 at its PBEsol-relaxed geometry. Source: the Alexandria database, functional SCAN.

Cell and atoms, written as CIF:
```
data_Ba2NaSr2Sb3O12
_chemical_formula_sum 'Ba4 Na2 Sr4 Sb6 O24'
_symmetry_space_group_name_H-M 'P 1'
_symmetry_Int_Tables_number 1
_symmetry_space_group_name_Hall 'P 1'
_cell_length_a 8.171
_cell_length_b 8.171
_cell_length_c 8.302
_cell_angle_alpha 90.00
_cell_angle_beta 90.00
_cell_angle_gamma 90.00
loop_
_atom_site_label
_atom_site_fract_x
_atom_site_fract_y
_atom_site_fract_z
Ba1 0.248 0.252 0.250
Ba2 0.752 0.748 0.250
Ba3 0.748 0.248 0.750
Ba4 0.252 0.752 0.750
Na1 0.500 0.500 0.500
Na2 0.000 0.000 0.000
Sr1 0.253 0.753 0.250
Sr2 0.747 0.247 0.250
Sr3 0.247 0.253 0.750
Sr4 0.753 0.747 0.750
Sb1 0.500 0.500 0.000
Sb2 0.000 0.000 0.500
Sb3 0.500 0.000 0.500
Sb4 0.000 0.500 0.000
Sb5 0.000 0.500 0.500
Sb6 0.500 0.000 0.000
O1 0.500 0.500 0.230
O2 0.000 0.000 0.730
O3 0.500 0.500 0.770
O4 0.000 0.000 0.270
O5 0.229 0.462 0.510
O6 0.771 0.538 0.510
O7 0.729 0.038 0.010
O8 0.271 0.962 0.010
O9 0.462 0.771 0.490
O10 0.538 0.229 0.490
O11 0.038 0.271 0.990
O12 0.962 0.729 0.990
O13 0.250 0.043 0.510
O14 0.750 0.957 0.510
O15 0.750 0.457 0.010
O16 0.250 0.543 0.010
O17 0.043 0.750 0.490
O18 0.957 0.250 0.490
O19 0.457 0.250 0.990
O20 0.543 0.750 0.990
O21 0.500 0.000 0.250
O22 0.000 0.500 0.750
O23 0.000 0.500 0.250
O24 0.500 0.000 0.750
```

Results
The value obtained for the mass density is 6.172 g cm⁻³. For the formation energy from raw total energies, the calculation gives -2.350 eV/atom. Its symmetry is P-4n2 (118). For the total magnetization, the calculation gives 0.00 μB/f.u. For the calculated volume, the calculation gives 13.86 Å³/atom.

---

Ba2NaSr2Sb3O12 at its PBEsol-relaxed geometry. Source: the Alexandria database, functional SCAN.

Cell and atoms, written as CIF:
```
data_Ba2NaSr2Sb3O12
_chemical_formula_sum 'Ba4 Na2 Sr4 Sb6 O24'
_symmetry_space_group_name_H-M 'P 1'
_symmetry_Int_Tables_number 1
_symmetry_space_group_name_Hall 'P 1'
_cell_length_a 8.173
_cell_length_b 8.238
_cell_length_c 8.238
_cell_angle_alpha 89.64
_cell_angle_beta 90.00
_cell_angle_gamma 90.00
loop_
_atom_site_label
_atom_site_fract_x
_atom_site_fract_y
_atom_site_fract_z
Ba1 0.253 0.750 0.250
Ba2 0.747 0.250 0.750
Ba3 0.753 0.750 0.250
Ba4 0.247 0.250 0.750
Na1 0.000 0.000 0.000
Na2 0.500 0.500 0.500
Sr1 0.250 0.254 0.246
Sr2 0.750 0.246 0.254
Sr3 0.750 0.746 0.754
Sr4 0.250 0.754 0.746
Sb1 0.000 0.500 0.000
Sb2 0.000 0.000 0.500
Sb3 0.500 0.500 0.000
Sb4 0.500 0.000 0.500
Sb5 0.000 0.500 0.500
Sb6 0.500 0.000 0.000
O1 0.250 0.533 0.967
O2 0.750 0.967 0.533
O3 0.750 0.467 0.033
O4 0.250 0.033 0.467
O5 0.270 0.981 0.019
O6 0.730 0.019 0.981
O7 0.770 0.519 0.481
O8 0.230 0.481 0.519
O9 0.029 0.271 0.006
O10 0.971 0.006 0.271
O11 0.529 0.506 0.771
O12 0.471 0.771 0.506
O13 0.971 0.729 0.994
O14 0.029 0.994 0.729
O15 0.471 0.494 0.229
O16 0.529 0.229 0.494
O17 0.472 0.250 0.003
O18 0.528 0.003 0.250
O19 0.972 0.503 0.750
O20 0.028 0.750 0.503
O21 0.528 0.750 0.997
O22 0.472 0.997 0.750
O23 0.028 0.497 0.250
O24 0.972 0.250 0.497
```

Results
The value obtained for the mass density is 6.169 g cm⁻³. For the formation energy from raw total energies, the calculation gives -2.352 eV/atom. Its symmetry is Cmce (64). For the total magnetization, the calculation gives 0.00 μB/f.u. For the calculated volume, the calculation gives 13.86 Å³/atom.

---

BaNa2Si2O6 at its PBEsol-relaxed geometry. Source: the Alexandria database, functional SCAN.

Cell and atoms, written as CIF:
```
data_BaNa2Si2O6
_chemical_formula_sum 'Ba2 Na4 Si4 O12'
_symmetry_space_group_name_H-M 'P 1'
_symmetry_Int_Tables_number 1
_symmetry_space_group_name_Hall 'P 1'
_cell_length_a 4.772
_cell_length_b 5.706
_cell_length_c 11.403
_cell_angle_alpha 91.24
_cell_angle_beta 90.00
_cell_angle_gamma 90.00
loop_
_atom_site_label
_atom_site_fract_x
_atom_site_fract_y
_atom_site_fract_z
Ba1 0.760 0.251 0.097
Ba2 0.260 0.749 0.903
Na1 0.744 0.183 0.486
Na2 0.746 0.700 0.678
Na3 0.244 0.817 0.514
Na4 0.246 0.300 0.322
Si1 0.696 0.221 0.806
Si2 0.204 0.321 0.653
Si3 0.196 0.779 0.194
Si4 0.704 0.679 0.347
O1 0.749 0.401 0.321
O2 0.368 0.749 0.320
O3 0.766 0.776 0.478
O4 0.724 0.461 0.884
O5 0.775 0.987 0.876
O6 0.870 0.828 0.243
O7 0.275 0.013 0.124
O8 0.249 0.599 0.679
O9 0.266 0.224 0.522
O10 0.370 0.172 0.757
O11 0.868 0.251 0.680
O12 0.224 0.539 0.116
```

Results
The value obtained for the mass density is 3.589 g cm⁻³. For the formation energy from raw total energies, the calculation gives -2.872 eV/atom. Its symmetry is P2_1 (4). For the total magnetization, the calculation gives 0.00 μB/f.u. For the calculated volume, the calculation gives 14.11 Å³/atom.

---

Ba3NaSi2O8 at its PBEsol-relaxed geometry. Source: the Alexandria database, functional SCAN.

Cell and atoms, written as CIF:
```
data_Ba3NaSi2O8
_chemical_formula_sum 'Ba6 Na2 Si4 O16'
_symmetry_space_group_name_H-M 'P 1'
_symmetry_Int_Tables_number 1
_symmetry_space_group_name_Hall 'P 1'
_cell_length_a 5.794
_cell_length_b 5.794
_cell_length_c 14.758
_cell_angle_alpha 90.00
_cell_angle_beta 90.00
_cell_angle_gamma 120.82
loop_
_atom_site_label
_atom_site_fract_x
_atom_site_fract_y
_atom_site_fract_z
Ba1 0.026 0.974 0.250
Ba2 0.974 0.026 0.750
Ba3 0.659 0.341 0.921
Ba4 0.341 0.659 0.079
Ba5 0.341 0.659 0.421
Ba6 0.659 0.341 0.579
Na1 0.000 0.000 0.500
Na2 0.000 0.000 0.000
Si1 0.673 0.327 0.360
Si2 0.327 0.673 0.640
Si3 0.327 0.673 0.860
Si4 0.673 0.327 0.140
O1 0.373 0.164 0.405
O2 0.832 0.168 0.379
O3 0.836 0.627 0.405
O4 0.627 0.836 0.595
O5 0.168 0.832 0.621
O6 0.164 0.373 0.595
O7 0.627 0.836 0.905
O8 0.168 0.832 0.879
O9 0.164 0.373 0.905
O10 0.373 0.164 0.095
O11 0.832 0.168 0.121
O12 0.836 0.627 0.095
O13 0.635 0.365 0.250
O14 0.365 0.635 0.750
O15 0.701 0.299 0.750
O16 0.299 0.701 0.250
```

Results
The value obtained for the mass density is 4.833 g cm⁻³. For the formation energy from raw total energies, the calculation gives -2.932 eV/atom. Its symmetry is Cmcm (63). For the total magnetization, the calculation gives 1.03 μB/f.u. For the calculated volume, the calculation gives 15.20 Å³/atom.